# 1
## LiSi2Au (PBE-GGA)

Data for a geometry-optimized LiSi2Au structure.

Output
D(E_F) = 0.15 states/eV/atom
ρ = 6.72 g cm⁻³
electronic total energy = -15.6 eV for the cell shown
ΔE_f (raw) = 0.12 eV per atom
ΔE to the lowest computed polymorph = 219 meV/atom

abc: 4.497 4.497 4.497
angles: 60.00 60.00 60.00
Atoms (fractional coordinates):
Li 0.000 0.000 0.000
Si 0.250 0.250 0.250
Si 0.750 0.750 0.750
Au 0.500 0.500 0.500

=====

# 2
## PrNdYHo (PBE-GGA)

Data for a geometry-optimized PrNdYHo structure.

Output
D(E_F) = 1.87 states/eV/atom
ρ = 6.60 g cm⁻³
ΔE_f = 0.10 eV/atom
electronic total energy = -20.2 eV for the cell shown
ΔE to the lowest computed polymorph = 84 meV/atom

abc: 5.766 5.766 5.766
angles: 60.00 60.00 60.00
Atoms (fractional coordinates):
Pr 0.000 0.000 0.000
Nd 0.500 0.500 0.500
Y 0.250 0.250 0.250
Ho 0.750 0.750 0.750

=====

# 3
## Dy5Al3 (PBE-GGA)

Data for a geometry-optimized Dy5Al3 structure.

Output
D(E_F) = 0.88 states/eV/atom
ρ = 6.90 g cm⁻³
ΔE_f = -0.29 eV/atom
electronic total energy = -73.1 eV for the cell shown
ΔE to the lowest computed polymorph = 12 meV/atom

abc: 8.998 8.998 8.998
angles: 128.85 128.85 75.26
Atoms (fractional coordinates):
Dy 0.000 0.000 0.000
Dy 0.021 0.521 0.840
Dy 0.181 0.021 0.500
Dy 0.319 0.819 0.840
Dy 0.479 0.319 0.500
Dy 0.500 0.500 0.000
Dy 0.521 0.681 0.500
Dy 0.681 0.181 0.160
Dy 0.819 0.979 0.500
Dy 0.979 0.479 0.160
Al 0.121 0.379 0.500
Al 0.250 0.250 0.000
Al 0.379 0.879 0.259
Al 0.621 0.121 0.741
Al 0.750 0.750 0.000
Al 0.879 0.621 0.500

=====

# 4
## CdSb2As (PBE-GGA)

Data for a geometry-optimized CdSb2As structure.

Output
D(E_F) = 0.44 states/eV/atom
ρ = 7.29 g cm⁻³
electronic total energy = -12.8 eV for the cell shown
ΔE_f (raw) = 0.25 eV per atom
ΔE to the lowest computed polymorph = 209 meV/atom

abc: 6.077 6.077 3.101
angles: 101.85 101.85 112.67
Atoms (fractional coordinates):
Cd 0.000 0.000 0.000
Sb 0.000 0.500 0.500
Sb 0.500 0.000 0.500
As 0.500 0.500 0.000

=====

# 5
## Ac2LaCd (PBE-GGA)

Data for a geometry-optimized Ac2LaCd structure.

Output
D(E_F) = 1.55 states/eV/atom
ρ = 8.02 g cm⁻³
ΔE_f = 0.01 eV/atom
electronic total energy = -14.0 eV for the cell shown
ΔE to the lowest computed polymorph = 148 meV/atom

abc: 5.912 5.912 5.912
angles: 60.00 60.00 60.00
Atoms (fractional coordinates):
Ac 0.250 0.250 0.250
Ac 0.750 0.750 0.750
La 0.000 0.000 0.000
Cd 0.500 0.500 0.500

=====

# 6
## CeBeIr3 (PBE-GGA)

Data for a geometry-optimized CeBeIr3 structure.

Output
D(E_F) = 0.67 states/eV/atom
ρ = 15.24 g cm⁻³
ΔE_f = -0.48 eV/atom
electronic total energy = -38.6 eV for the cell shown

abc: 4.292 4.292 4.292
angles: 90.00 90.00 90.00
Atoms (fractional coordinates):
Ce 0.000 0.000 0.000
Be 0.500 0.500 0.500
Ir 0.000 0.500 0.500
Ir 0.500 0.000 0.500
Ir 0.500 0.500 0.000

=====

# 7
## Rb3LiHg2F9 (PBE-GGA)

Data for a geometry-optimized Rb3LiHg2F9 structure.

Output
D(E_F) = 0.43 states/eV/atom
ρ = 5.37 g cm⁻³
electronic total energy = -54.1 eV for the cell shown
ΔE_f (raw) = -2.12 eV per atom

abc: 6.230 6.230 7.686
angles: 90.00 90.00 120.00
Atoms (fractional coordinates):
Rb 0.000 0.000 0.000
Rb 0.333 0.667 0.654
Rb 0.667 0.333 0.346
Li 0.000 0.000 0.500
Hg 0.333 0.667 0.183
Hg 0.667 0.333 0.817
F 0.000 0.500 0.000
F 0.159 0.318 0.339
F 0.159 0.841 0.339
F 0.318 0.159 0.661
F 0.500 0.000 0.000
F 0.500 0.500 0.000
F 0.682 0.841 0.339
F 0.841 0.159 0.661
F 0.841 0.682 0.661

=====

# 8
## AcTlTeSe (PBE-GGA)

Data for a geometry-optimized AcTlTeSe structure.

Output
ρ = 7.05 g cm⁻³
electronic total energy = -17.9 eV for the cell shown
ΔE_f (raw) = -1.20 eV per atom
ΔE to the lowest computed polymorph = 0 meV/atom

abc: 8.784 8.784 8.784
angles: 30.03 30.03 30.03
Atoms (fractional coordinates):
Ac 0.000 0.000 0.000
Tl 0.163 0.163 0.163
Te 0.581 0.581 0.581
Se 0.734 0.734 0.734

=====

# 9
## Sb2TeIrPd (PBE-GGA)

Data for a geometry-optimized Sb2TeIrPd structure.

Output
D(E_F) = 0.65 states/eV/atom
ρ = 7.97 g cm⁻³
electronic total energy = -22.3 eV for the cell shown
ΔE_f (raw) = 0.63 eV per atom
ΔE to the lowest computed polymorph = 0 meV/atom

abc: 5.030 5.030 5.515
angles: 90.00 90.00 90.00
Atoms (fractional coordinates):
Sb 0.000 0.500 0.000
Sb 0.500 0.000 0.000
Te 0.000 0.000 0.500
Ir 0.000 0.000 0.000
Pd 0.500 0.500 0.500